(1)
CuBr: relaxed, GGA-PBE.

Lattice parameters (Å, degrees): 7.040 7.040 7.040 90.00 90.00 90.00
Atoms (fractional coordinates):
Cu 0.000 0.250 0.500
Cu 0.000 0.750 0.500
Cu 0.250 0.500 0.000
Cu 0.500 0.000 0.250
Cu 0.500 0.000 0.750
Cu 0.750 0.500 0.000
Br 0.000 0.500 0.250
Br 0.000 0.500 0.750
Br 0.250 0.000 0.500
Br 0.500 0.250 0.000
Br 0.500 0.750 0.000
Br 0.750 0.000 0.500

Results
Formation energy (no corrections) in meV/atom: -180
Uncorrected energy in eV per atom: -3.0644
Magnetic moment in μB per atom: 0.000

***

(2)
CrIn2CuS: relaxed, GGA-PBE.

Lattice parameters (Å, degrees): 5.288 5.288 4.634 90.00 90.00 90.00
Atoms (fractional coordinates):
Cr 0.000 0.000 0.000
In 0.000 0.500 0.000
In 0.500 0.000 0.000
Cu 0.000 0.000 0.500
S 0.500 0.500 0.500

Results
Formation energy (no corrections) in meV/atom: 783
Uncorrected energy in eV per atom: -3.8816
Magnetic moment in μB per atom: 0.957

***

(3)
Sc2InPb: relaxed, GGA-PBE.

Lattice parameters (Å, degrees): 5.447 5.447 3.309 90.10 90.10 106.41
Atoms (fractional coordinates):
Sc 0.000 0.500 0.000
Sc 0.500 0.000 0.000
In 0.000 0.000 0.500
Pb 0.500 0.500 0.500

Results
Uncorrected energy in eV per atom: -5.1364
E_form in eV/atom: -0.359
Magnetic moment in μB per atom: 0.275

***

(4)
Cr4ReRu: relaxed, GGA-PBE.

Lattice parameters (Å, degrees): 4.736 4.736 4.736 60.00 60.00 60.00
Atoms (fractional coordinates):
Cr 0.124 0.124 0.124
Cr 0.124 0.124 0.628
Cr 0.124 0.628 0.124
Cr 0.628 0.124 0.124
Re 0.750 0.750 0.750
Ru 0.500 0.500 0.500

Results
Uncorrected energy in eV per atom: -10.0161
E_form in eV/atom: 0.020
Magnetic moment in μB per atom: 0.000

***

(5)
RbInPb: relaxed, GGA-PBE.

Lattice parameters (Å, degrees): 6.908 6.908 6.908 133.57 97.16 100.72
Atoms (fractional coordinates):
Rb 0.000 0.000 0.000
Rb 0.647 0.147 0.500
In 0.249 0.413 0.836
In 0.577 0.413 0.164
Pb 0.054 0.729 0.325
Pb 0.404 0.729 0.675

Results
Uncorrected energy in eV per atom: -2.6241
E_form in eV/atom: -0.153
Magnetic moment in μB per atom: 0.000

***

(6)
Ce3Ni3Sn4: relaxed, GGA-PBE.

Lattice parameters (Å, degrees): 8.301 8.301 8.301 109.47 109.47 109.47
Atoms (fractional coordinates):
Ce 0.125 0.875 0.250
Ce 0.250 0.125 0.875
Ce 0.375 0.625 0.750
Ce 0.625 0.750 0.375
Ce 0.750 0.375 0.625
Ce 0.875 0.250 0.125
Ni 0.125 0.750 0.875
Ni 0.250 0.625 0.375
Ni 0.375 0.250 0.625
Ni 0.625 0.375 0.250
Ni 0.750 0.875 0.125
Ni 0.875 0.125 0.750
Sn 0.000 0.155 0.500
Sn 0.000 0.655 0.500
Sn 0.155 0.500 0.000
Sn 0.345 0.345 0.345
Sn 0.500 0.000 0.155
Sn 0.500 0.000 0.655
Sn 0.655 0.500 0.000
Sn 0.845 0.845 0.845

Results
Uncorrected energy in eV per atom: -5.7080
E_form in eV/atom: -0.592
Magnetic moment in μB per atom: 0.018

***

(7)
Na3Ca2PtO6: relaxed, GGA-PBE.

Lattice parameters (Å, degrees): 5.743 5.743 5.841 99.44 99.44 120.07
Atoms (fractional coordinates):
Na 0.000 0.000 0.000
Na 0.342 0.658 0.000
Na 0.658 0.342 0.000
Ca 0.168 0.832 0.500
Ca 0.832 0.168 0.500
Pt 0.500 0.500 0.500
O 0.134 0.428 0.284
O 0.274 0.274 0.708
O 0.428 0.134 0.284
O 0.572 0.866 0.716
O 0.726 0.726 0.292
O 0.866 0.572 0.716

Results
Formation energy (no corrections) in meV/atom: -1755
Uncorrected energy in eV per atom: -5.4006
Magnetic moment in μB per atom: 0.084

***

(8)
Ac6AgOs2: relaxed, GGA-PBE.

Lattice parameters (Å, degrees): 7.594 7.594 7.143 90.00 90.00 120.00
Atoms (fractional coordinates):
Ac 0.000 0.351 0.227
Ac 0.000 0.649 0.773
Ac 0.351 0.000 0.227
Ac 0.351 0.351 0.773
Ac 0.649 0.000 0.773
Ac 0.649 0.649 0.227
Ag 0.000 0.000 0.500
Os 0.333 0.667 0.000
Os 0.667 0.333 0.000

Results
Uncorrected energy in eV per atom: -5.6293
E_form in eV/atom: -0.078
Magnetic moment in μB per atom: 0.000